DFT (PBE+U) results for a relaxed MnAg2TeF crystal.

Cell lengths 4.9272, 4.2508, 4.9272 Å; angles 90.00, 90.00, 90.00 degrees
Each line ends with the local moment (μB).
Element x y z (fractional)
Mn1 0.0000 0.5000 0.0000  4.65
Te1 0.5000 0.5000 0.5000  0.04
Ag1 0.0000 0.0000 0.5000  0.01
Ag2 0.5000 0.0000 0.0000  0.01
F1 0.0000 0.0000 0.0000  0.04

Calculated total energy: -19.848 eV/cell